Record 1
Ac4BBr5 | PBE-GGA | optimized geometry

Output
Crystal system: monoclinic
SG: C2/m, No. 12
DOS at the Fermi energy (states/eV/cell): 5.57
Formation energy from raw total energies (kJ/mol of formula units): -1306

Cell and atoms, written as POSCAR:
```
Ac4BBr5
1.0
9.8465 -2.1766 0.0000
9.8465 2.1766 0.0000
-2.2563 0.0000 8.6852
Ac B Br
4 1 5
direct
0.0012 0.0012 0.2845
0.3522 0.3522 0.4120
0.6478 0.6478 0.5880
0.9988 0.9988 0.7155
0.5000 0.5000 0.5000
0.1658 0.1658 0.8478
0.1718 0.1718 0.3429
0.5000 0.5000 0.0000
0.8282 0.8282 0.6571
0.8342 0.8342 0.1522
```

***

Record 2
La6Pr2Ag | PBE-GGA | optimized geometry

Output
Crystal system: orthorhombic
SG: Immm, No. 71
DOS at the Fermi energy (states/eV/cell): 12.83
Energy of formation from the pure elements (eV per formula unit): 0.7

Cell and atoms, written as POSCAR:
```
La6Pr2Ag
1.0
-2.8938 5.1437 5.1982
2.8938 -5.1437 5.1982
2.8938 5.1437 -5.1982
La Pr Ag
6 2 1
direct
0.1443 0.3365 0.8078
0.1661 0.0000 0.1661
0.4713 0.6635 0.8078
0.5287 0.3365 0.1922
0.8339 0.0000 0.8339
0.8557 0.6635 0.1922
0.3085 0.8085 0.5000
0.6915 0.1915 0.5000
0.0000 0.5000 0.5000
```

***

Question: Which value of DOS at the Fermi energy does entry 1 give?
Answer: 5.57 states/eV/cell

***

Question: Which of these has the lowest DOS at the Fermi energy?
Answer: Ac4BBr5